Record 1
An optimized crystal structure of YMn3Rh. Source: the Alexandria database, functional PBE.

a b c (Å): 4.7810 4.7810 4.7810
angles (deg): 90.00 90.00 90.00
Positions (direct):
1 Y 0.0000 0.0000 0.0000
2 Mn 0.0000 0.5000 0.5000
3 Mn 0.5000 0.0000 0.5000
4 Mn 0.5000 0.5000 0.0000
5 Rh 0.5000 0.5000 0.5000

- Symmetry: Pm-3m
- Offset from the most stable computed form: 0.0 meV/atom



Record 2
An optimized crystal structure of NdSmAl. Source: the Alexandria database, functional PBE.

a b c (Å): 5.1525 5.1525 3.6953
angles (deg): 90.00 90.00 120.00
Positions (direct):
1 Nd 0.0000 0.0000 0.0000
2 Sm 0.6667 0.3333 0.5789
3 Al 0.3333 0.6667 0.3042

- Symmetry: P3m1
- Offset from the most stable computed form: 68.1 meV/atom



Record 3
An optimized crystal structure of InNi2Au2. Source: the Alexandria database, functional PBE.

a b c (Å): 7.3422 7.3422 3.0612
angles (deg): 90.00 90.00 90.00
Positions (direct):
1 In 0.0000 0.0000 0.0000
2 In 0.5000 0.5000 0.0000
3 Ni 0.1587 0.3413 0.5000
4 Ni 0.3413 0.8413 0.5000
5 Ni 0.6587 0.1587 0.5000
6 Ni 0.8413 0.6587 0.5000
7 Au 0.1381 0.6381 0.0000
8 Au 0.3619 0.1381 0.0000
9 Au 0.6381 0.8619 0.0000
10 Au 0.8619 0.3619 0.0000

- Symmetry: P4/mbm
- Offset from the most stable computed form: 145.4 meV/atom



Record 4
An optimized crystal structure of VCo2Mo. Source: the Alexandria database, functional PBE.

a b c (Å): 2.6299 2.6299 7.1771
angles (deg): 90.00 90.00 90.00
Positions (direct):
1 V 0.0000 0.0000 0.0000
2 Co 0.5000 0.5000 0.2403
3 Co 0.5000 0.5000 0.7597
4 Mo 0.0000 0.0000 0.5000

- Symmetry: P4/mmm
- Offset from the most stable computed form: 15.8 meV/atom



Record 5
An optimized crystal structure of NaP3O. Source: the Alexandria database, functional PBE.

a b c (Å): 4.8347 4.8347 4.8347
angles (deg): 90.00 90.00 90.00
Positions (direct):
1 Na 0.0000 0.0000 0.0000
2 P 0.0000 0.0000 0.5000
3 P 0.0000 0.5000 0.0000
4 P 0.5000 0.0000 0.0000
5 O 0.5000 0.5000 0.5000

- Symmetry: Pm-3m
- Offset from the most stable computed form: 1561.2 meV/atom
- Formation energy from raw total energies: 9.9 eV per formula unit



Record 6
An optimized crystal structure of BC5. Source: the Alexandria database, functional PBE.

a b c (Å): 3.6249 3.6417 5.7791
angles (deg): 90.00 108.71 90.00
Positions (direct):
1 B 0.0000 0.1279 0.2500
2 B 0.0000 0.8721 0.7500
3 C 0.1710 0.3808 0.0788
4 C 0.1710 0.6192 0.5788
5 C 0.3443 0.1350 0.9232
6 C 0.3443 0.8650 0.4232
7 C 0.5000 0.3716 0.7500
8 C 0.5000 0.6284 0.2500
9 C 0.6557 0.1350 0.5768
10 C 0.6557 0.8650 0.0768
11 C 0.8290 0.3808 0.4212
12 C 0.8290 0.6192 0.9212

- Symmetry: P2/c
- Offset from the most stable computed form: 63.8 meV/atom



Record 7
An optimized crystal structure of MgSbCl. Source: the Alexandria database, functional PBE.

a b c (Å): 4.8752 4.8752 3.3709
angles (deg): 90.00 90.00 120.00
Positions (direct):
1 Mg 0.0000 0.0000 0.0000
2 Sb 0.3333 0.6667 0.5000
3 Cl 0.6667 0.3333 0.0000

- Symmetry: P-6m2
- Offset from the most stable computed form: 588.8 meV/atom
- Formation energy from raw total energies: -0.9 eV per formula unit



Record 8
An optimized crystal structure of AcZr2RuO8. Source: the Alexandria database, functional PBE.

a b c (Å): 4.9998 6.7845 5.0104
angles (deg): 90.00 91.88 90.00
Positions (direct):
1 Ac 0.0000 0.0000 0.0000
2 Zr 0.5000 0.2576 0.5000
3 Zr 0.5000 0.7424 0.5000
4 Ru 0.0000 0.5000 0.0000
5 O 0.2038 0.2978 0.1995
6 O 0.2038 0.7022 0.1995
7 O 0.2878 0.5000 0.7090
8 O 0.3261 0.0000 0.6647
9 O 0.6739 0.0000 0.3353
10 O 0.7123 0.5000 0.2910
11 O 0.7962 0.2978 0.8005
12 O 0.7962 0.7022 0.8005

- Symmetry: P2/m
- Formation energy from raw total energies: -30.1 eV per formula unit